Entry from the Open Quantum Materials Database: Co2TeCl2O3 after structural relaxation (PBE with a Hubbard U).

Calculated values
VASP energy: -4.98 eV/atom

abc: 5.0490 6.7111 8.1747
angles: 90.00 105.97 90.00
Closest atoms and distances in Å follow each position.
Space group P2_1/m (No. 11)
Asymmetric unit:
Co1 0.0000 0.0000 0.0000  4 O 2.04-2.10
Co2 0.2469 0.2500 0.7860  2 O 1.99
Te1 0.3988 0.7500 0.7435  3 O 1.90-1.97
Cl1 0.1581 0.2500 0.4905  1 Co 2.33
Cl2 0.2594 0.7500 0.2124  4 Co 2.49-2.56
O1 0.2388 0.5387 0.8376  1 Te 1.90, 2 Co 1.99-2.04
O2 0.2544 0.2500 0.0726  1 Te 1.97, 2 Co 2.10